A relaxed structure of Ca2ZnPt, computed with PBE.

Computed properties:
- Formation enthalpy at 0 K: -458 meV/atom
- Density of states at the Fermi level: 2.5 states/eV/f.u.
- DFT total energy: -3.29 eV per atom

a b c (Å): 3.5348 3.5348 7.9756
angles (deg): 90.00 90.00 90.00
Space group P4mm (No. 99)
Asymmetric unit:
1 Ca 0.0000 0.0000 0.0000
2 Ca 0.5000 0.5000 0.4012
3 Zn 0.5000 0.5000 0.7627
4 Pt 0.0000 0.0000 0.6277